K2Ga2Hg: optimized geometry, PBE-GGA.

POSCAR file:
```
K2Ga2Hg
1.0
3.8770 0.0000 0.0000
0.0000 3.8770 0.0000
1.9385 1.9385 11.0288
Hg Ga K
1 2 2
Cartesian
0.0000 0.0000 0.0000
1.9385 3.8770 5.5144
3.8770 1.9385 5.5144
1.9385 1.9385 2.4424
3.8770 3.8770 8.5865
```

Calculated values
energy: -1.760 eV per atom
energy of formation: -5 kJ/mol of atoms
symmetry: I4/mmm, No. 139

AcTbSmTm: optimized geometry, PBE-GGA.

POSCAR file:
```
AcTbSmTm
1.0
-3.6775 0.6768 -4.4871
0.9316 -2.8743 -4.9986
-3.5432 -4.3745 -1.5575
Ac Tb Tm Sm
1 1 1 1
Cartesian
-4.7168 -4.9290 -8.2824
0.0000 0.0000 0.0000
-3.1445 -3.2860 -5.5216
-1.5723 -1.6430 -2.7608
```

Calculated values
energy: -4.363 eV per atom
energy of formation: 12 kJ/mol of atoms
symmetry: F-43m, No. 216

YMgTlPd: optimized geometry, PBE-GGA.

POSCAR file:
```
YMgTlPd
1.0
4.9873 0.0000 0.0000
2.4936 4.3191 0.0000
2.4936 1.4397 4.0721
Mg Pd Y Tl
1 1 1 1
Cartesian
2.4936 1.4397 1.0180
4.9873 2.8794 2.0360
7.4809 4.3191 3.0541
0.0000 0.0000 0.0000
```

Calculated values
energy: -4.408 eV per atom
energy of formation: -49 kJ/mol of atoms
symmetry: F-43m, No. 216

MnFe5Pt6: optimized geometry, PBE-GGA.

POSCAR file:
```
MnFe5Pt6
1.0
3.7016 -0.0184 1.2336
0.0335 7.4886 0.0111
0.0064 -0.0092 6.1512
Fe Pt Mn
5 6 1
Cartesian
2.4829 3.7259 4.9463
1.2082 -0.0092 2.5450
2.4998 -0.0184 4.8397
0.0167 3.7443 0.0056
1.2586 3.7351 2.4496
0.6311 1.8923 4.3051
1.8591 1.8530 0.6196
3.1104 5.5687 3.0908
0.6475 5.5779 4.3106
1.8760 5.6173 0.6252
3.0939 1.8831 3.0853
0.0000 0.0000 0.0000
```

Calculated values
energy: -7.566 eV per atom
energy of formation: -25 kJ/mol of atoms
symmetry: Cmmm, No. 65

CsSrTlCl6: optimized geometry, PBE-GGA.

POSCAR file:
```
CsSrTlCl6
1.0
-3.2543 -3.4166 5.5958
0.9323 -7.1999 0.9339
6.0804 1.3540 4.3623
Cl Sr Tl Cs
6 1 1 1
Cartesian
-0.1670 -1.8917 4.7509
1.2058 -5.2413 3.8763
3.1339 -0.4730 5.1043
2.0485 -2.2787 1.7827
4.7596 -3.5571 3.7950
2.6164 -3.7291 6.8356
1.4924 -6.4006 6.5343
2.2663 -2.8617 4.3579
2.8261 -2.0626 9.9579
```

Calculated values
energy: -3.368 eV per atom
symmetry: P312, No. 149

Ag2IrBr: optimized geometry, PBE-GGA.

POSCAR file:
```
Ag2IrBr
1.0
4.9099 -0.0872 0.1655
4.0021 2.8457 0.1655
1.3118 0.4061 6.3935
Br Ag Ir
1 2 1
Cartesian
6.0054 1.8589 3.2195
7.5508 2.3372 5.4754
8.5993 2.6618 0.5001
2.0922 0.6476 1.2228
```

Calculated values
energy: -3.601 eV per atom
symmetry: Cm, No. 8

PaCr2H6: optimized geometry, PBE-GGA.

POSCAR file:
```
PaCr2H6
1.0
4.3342 0.0000 0.0000
0.0000 3.7682 -2.1756
0.0000 0.0000 4.3511
H Cr Pa
6 2 1
Cartesian
3.3644 0.0000 2.1758
3.3644 1.8838 1.0876
0.9698 1.8838 3.2635
0.9698 3.7682 -0.0003
0.9698 1.8843 1.0879
3.3644 1.8843 -1.0879
2.1671 2.5121 0.0000
2.1671 1.2560 2.1756
0.0000 0.0000 0.0000
```

Calculated values
energy: -5.590 eV per atom
symmetry: P6/mmm, No. 191

Li2ZrGa2Pd2: optimized geometry, PBE-GGA.

POSCAR file:
```
Li2ZrGa2Pd2
1.0
4.4765 0.0000 0.0000
-2.2383 3.8606 -0.3179
0.0000 -1.9905 6.7521
Ga Pd Zr Li
2 2 1 2
Cartesian
0.0000 0.2468 2.7774
2.2383 1.6233 3.6568
2.2383 1.3836 1.1108
0.0000 0.4866 5.3234
0.0000 0.0000 0.0000
0.0000 2.7189 1.5222
2.2383 -0.8488 4.9120
```

Calculated values
energy: -4.589 eV per atom
energy of formation: -46 kJ/mol of atoms
symmetry: C2/m, No. 12

Ac2Ag5Hg3: optimized geometry, PBE-GGA.

POSCAR file:
```
Ac2Ag5Hg3
1.0
-5.1945 2.7122 -2.3167
-7.4902 -5.6422 1.6197
-3.9909 5.4215 6.7261
Hg Ag Ac
6 10 4
Cartesian
-8.0974 -0.0124 1.0027
-4.4834 1.8464 3.6448
-3.8959 2.0341 -1.7375
-1.2986 0.6780 -0.5792
-12.1923 0.6451 2.3843
-8.5782 2.5039 5.0265
-8.5489 -0.1366 6.1543
-12.7525 3.0306 6.4333
-8.1268 2.6281 -0.1251
-5.5731 3.8122 -0.1800
-11.1026 -1.3207 6.2092
-7.0392 0.5677 3.5937
-5.5295 1.2720 1.0332
-11.1461 1.2195 4.9959
-9.6365 1.9238 2.4354
-3.9232 -0.5391 -0.4041
-6.6439 4.4781 3.0007
-10.8168 5.0991 4.5147
-10.0317 -1.9866 3.0285
-5.8589 -2.6077 1.5145
```

Calculated values
energy: -2.545 eV per atom
energy of formation: -20 kJ/mol of atoms
symmetry: Ibam, No. 72

Li2AsS: optimized geometry, PBE-GGA.

POSCAR file:
```
Li2AsS
1.0
-4.4389 2.5637 -4.9146
-3.8290 -5.9708 0.3437
-5.6287 -0.6352 -0.3781
Li S As
4 2 2
Cartesian
-4.5635 -3.4497 -0.7247
-7.5017 -2.0343 -1.9815
-11.2762 -3.1773 -4.2992
-4.4518 0.5768 -2.8925
-4.1340 -1.7035 -2.2854
-6.7958 -4.1548 -1.1599
-7.1008 0.1125 -3.7890
0.0000 0.0000 0.0000
```

Calculated values
energy: -3.645 eV per atom
symmetry: I-42d, No. 122

MnGe2Rh4: optimized geometry, PBE-GGA.

POSCAR file:
```
MnGe2Rh4
1.0
0.0141 -3.9048 1.5112
3.0958 -2.6282 -1.0196
4.6310 -0.0569 5.6102
Rh Mn Ge
4 1 2
Cartesian
3.2771 -0.8557 3.5588
5.2064 -2.5067 5.0752
2.5346 -4.0832 1.0266
4.4638 -5.7342 2.5430
0.0000 0.0000 0.0000
1.9723 -1.6256 1.5817
5.7686 -4.9643 4.5201
```

Calculated values
energy: -7.275 eV per atom
energy of formation: -43 kJ/mol of atoms
symmetry: R-3m, No. 166

Pr7ErTm4: optimized geometry, PBE-GGA.

POSCAR file:
```
Pr7ErTm4
1.0
0.8040 -2.0319 6.9678
5.2943 -6.1389 5.2386
7.5992 4.8168 0.5172
Tm Pr Er
4 7 1
Cartesian
9.3704 -2.0537 5.9609
6.7790 -3.8995 7.5709
4.3270 -1.3003 6.7627
6.9184 0.5454 5.1527
0.4020 -1.0160 3.4839
7.3132 -0.4917 8.5409
3.9591 -0.3265 3.2627
3.2701 -4.5702 7.7968
6.3842 -2.8624 4.1827
9.7383 -3.0276 9.4608
10.4273 1.2162 4.9268
0.0000 0.0000 0.0000
```

Calculated values
energy: -4.648 eV per atom
energy of formation: 1 kJ/mol of atoms
symmetry: P-1, No. 2

TbHg2Pd7: optimized geometry, PBE-GGA.

POSCAR file:
```
TbHg2Pd7
1.0
4.3986 0.0000 0.0000
0.0000 7.9043 -0.5800
0.0000 -4.0837 6.7925
Pd Hg Tb
7 2 1
Cartesian
0.0000 -1.8230 5.4023
2.1993 1.9210 0.3823
0.0000 5.6436 0.8103
2.1993 1.9103 3.1063
2.1993 -0.5255 1.8869
2.1993 4.3461 4.3256
2.1993 1.8996 5.8302
2.1993 4.3186 1.6252
2.1993 -0.4980 4.5873
0.0000 0.0000 0.0000
```

Calculated values
energy: -4.161 eV per atom
energy of formation: 0 kJ/mol of atoms
symmetry: Cmmm, No. 65

Cs2SrPmF6: optimized geometry, PBE-GGA.

POSCAR file:
```
Cs2SrPmF6
1.0
6.9328 -0.0011 -0.0031
0.0004 6.7198 -0.1538
3.4643 3.2510 4.7485
F Cs Pm Sr
6 2 1 1
Cartesian
3.4654 3.5214 2.3929
1.7976 5.1870 0.0370
5.1338 5.1883 0.0382
8.5999 4.7828 4.5545
5.2637 4.7815 4.5533
6.9321 6.4484 2.1987
6.9309 3.3712 2.3780
3.4666 6.5985 2.2136
0.0000 0.0000 0.0000
3.4666 3.3594 -0.0785
```

Calculated values
energy: -5.188 eV per atom
symmetry: R-3m, No. 166

Ho2ScS: optimized geometry, PBE-GGA.

POSCAR file:
```
Ho2ScS
1.0
3.5777 0.0000 0.0000
1.7889 3.0984 0.0000
1.7889 1.0328 9.6654
Ho S Sc
2 1 1
Cartesian
1.7889 1.0328 6.5043
5.3666 3.0984 3.1610
3.5777 2.0656 4.8327
0.0000 0.0000 0.0000
```

Calculated values
energy: -5.548 eV per atom
symmetry: R-3m, No. 166

ReNi2Br: optimized geometry, PBE-GGA.

POSCAR file:
```
ReNi2Br
1.0
8.0167 1.5913 -0.4394
6.3789 5.1097 0.4394
-7.0755 -3.6132 1.9684
Br Ni Re
1 2 1
Cartesian
4.1864 2.8591 1.2039
13.7142 6.3839 0.0000
3.0317 0.1812 0.7645
7.9812 3.7152 0.0000
```

Calculated values
energy: -5.825 eV per atom
symmetry: Imm2, No. 44

LaPr4Y5: optimized geometry, PBE-GGA.

POSCAR file:
```
LaPr4Y5
1.0
3.5149 0.0012 -0.7177
-0.0816 11.3505 -0.4317
-0.0270 0.3041 8.9401
Y Pr La
5 4 1
Cartesian
0.5222 10.8027 2.6174
0.5418 6.3724 2.7465
1.7167 5.6758 -0.5747
2.8645 5.2834 5.0441
2.8841 0.8531 5.1732
3.3338 3.1429 7.5902
2.2369 2.9326 2.1947
0.0725 8.5129 0.2004
1.1694 8.7232 5.5959
1.7575 0.0006 -0.3589
```

Calculated values
energy: -5.446 eV per atom
energy of formation: 18 kJ/mol of atoms
symmetry: P-1, No. 2

Sr3Zn4Sn4: optimized geometry, PBE-GGA.

POSCAR file:
```
Sr3Zn4Sn4
1.0
4.6231 0.0000 0.0000
0.0000 4.6838 0.0000
-2.3116 -2.3419 13.7885
Zn Sn Sr
4 4 3
Cartesian
2.3116 0.0000 8.5521
2.3116 2.3419 1.2489
0.0000 0.0000 12.5396
0.0000 2.3419 5.2364
2.3116 0.0000 11.1923
2.3116 2.3419 6.9192
0.0000 0.0000 6.8693
0.0000 2.3419 2.5962
2.3116 0.0000 3.9806
0.0000 2.3419 9.8079
0.0000 0.0000 0.0000
```

Calculated values
energy: -2.795 eV per atom
energy of formation: -40 kJ/mol of atoms
symmetry: Immm, No. 71

CsPaH2Br8: optimized geometry, PBE-GGA.

POSCAR file:
```
CsPaH2Br8
1.0
-2.8935 1.7943 -6.7410
-5.0901 -4.5099 3.0969
-2.5632 9.7517 1.3734
Pa Br H Cs
1 8 2 1
Cartesian
0.0000 0.0000 0.0000
-5.9564 3.9325 2.7813
-4.6674 9.1432 -0.2513
-4.6801 -2.1959 1.7291
-6.0714 1.5083 -0.8281
-4.5903 3.1036 -5.0520
-5.8667 9.2320 -3.9998
-5.8794 -2.1071 -2.0194
-4.4754 5.5278 -1.4426
-5.9852 0.1357 -1.3278
-4.5616 6.9004 -0.9429
-1.2816 4.8759 0.6867
```

Calculated values
energy: -3.670 eV per atom
symmetry: P-1, No. 2

Ca3PuHf2N6: optimized geometry, PBE-GGA.

POSCAR file:
```
Ca3PuHf2N6
1.0
3.3541 0.0000 0.0000
0.0000 6.8397 0.1630
-1.6770 -2.0549 7.1247
Hf N Ca Pu
2 6 3 1
Cartesian
1.6770 3.1606 4.8149
0.0000 1.6242 2.4728
1.6770 0.1032 2.3202
1.6770 3.2122 7.0778
1.6770 3.1495 2.5985
0.0000 4.6815 4.9675
0.0000 1.5725 0.2099
0.0000 1.6352 4.6892
1.6770 3.4199 0.0815
0.0000 4.9993 2.5418
1.6770 -0.2146 4.7459
1.6770 0.0000 0.0000
```

Calculated values
energy: -8.964 eV per atom
symmetry: C2/m, No. 12

NaHo3Au4: optimized geometry, PBE-GGA.

POSCAR file:
```
NaHo3Au4
1.0
-4.7315 0.3399 -1.6710
-2.3856 -4.1088 -1.6499
-5.1681 -2.6943 6.5167
Au Ho Na
4 3 1
Cartesian
-7.1543 -3.7520 4.3567
-4.0541 -2.1213 3.4788
-8.2312 -4.3419 -0.2831
-5.1309 -2.7112 -1.1609
-3.0304 -1.5947 0.6873
-6.1426 -3.2316 1.5979
-9.2549 -4.8685 2.5085
0.0000 0.0000 0.0000
```

Calculated values
energy: -4.268 eV per atom
energy of formation: -72 kJ/mol of atoms
symmetry: R-3m, No. 166